VASP calculation (PBE-GGA) on a relaxed Rb2NaAu2 crystal.

Results
Relative energy among the computed polymorphs, meV/atom: 137
Formation energy, eV/atom: -0.120

Unit cell a=9.805 b=9.805 c=3.895 alpha=90.00 beta=90.00 gamma=90.00
Fractional positions:
Rb 0.135 0.365 0.000
Rb 0.365 0.865 0.000
Rb 0.635 0.135 0.000
Rb 0.865 0.635 0.000
Na 0.000 0.000 0.000
Na 0.500 0.500 0.000
Au 0.164 0.664 0.500
Au 0.336 0.164 0.500
Au 0.664 0.836 0.500
Au 0.836 0.336 0.500